Record 1
MnGe2Ir | PBE-GGA | optimized geometry

Formation enthalpy at 0 K ... -0.07 eV per atom
Crystal system ... triclinic
Magnetization ... 5.37 Bohr magnetons per cell
DOS(E_F) ... 0.592 states/eV/atom

a b c (Å): 4.8503 5.1991 5.2440
angles (deg): 72.78 89.53 70.61
With the nearest neighbours (Å) after each atom.
Sites, in units of the cell vectors:
Mn: 0.4202 0.0689 0.9963  7 Ge 2.52-2.75, 1 Mn 2.82
Mn: 0.9089 0.0241 0.3168  6 Ge 2.51-2.69, 2 Ir 2.74-2.79
Ge: 0.0299 0.5437 0.6690  2 Mn 2.51-2.66, 4 Ir 2.58-2.63, 2 Ge 2.75
Ge: 0.4012 0.0213 0.4882  4 Mn 2.52-2.75, 3 Ir 2.68-2.75, 1 Ge 2.81
Ge: 0.5392 0.5205 0.0180  4 Ir 2.50-2.66, 3 Mn 2.63-2.68
Ge: 0.9517 0.0205 0.8286  2 Ir 2.51-2.52, 4 Mn 2.56-2.69, 3 Ge 2.75-2.81
Ir: 0.5570 0.4560 0.5333  7 Ge 2.51-2.72
Ir: 0.0182 0.5394 0.1686  6 Ge 2.50-2.75, 2 Mn 2.74-2.79

Record 2
Ce3Bi3Pb | PBE-GGA | optimized geometry

Formation enthalpy at 0 K ... -0.42 eV per atom
Crystal system ... hexagonal
Magnetization ... 6.17 Bohr magnetons per cell
DOS(E_F) ... 2.533 states/eV/atom

a b c (Å): 6.0705 9.3966 9.3966
angles (deg): 120.00 90.00 90.00
With the nearest neighbours (Å) after each atom.
Sites, in units of the cell vectors:
Ce: 0.7500 0.6625 0.5767  4 Bi 3.14-3.31
Ce: 0.7500 0.4233 0.0858  4 Bi 3.14-3.31
Ce: 0.7500 0.9142 0.3375  4 Bi 3.14-3.31
Ce: 0.2500 0.3375 0.4233  4 Bi 3.14-3.31
Ce: 0.2500 0.5767 0.9142  4 Bi 3.14-3.31
Ce: 0.2500 0.0858 0.6625  4 Bi 3.14-3.31
Bi: 0.2500 0.7635 0.7158  4 Ce 3.14-3.31, 1 Pb 3.24
Bi: 0.2500 0.2842 0.0478  4 Ce 3.14-3.31, 1 Pb 3.24
Bi: 0.2500 0.9522 0.2365  4 Ce 3.14-3.31, 1 Pb 3.24
Bi: 0.7500 0.2365 0.2842  4 Ce 3.14-3.31, 1 Pb 3.24
Bi: 0.7500 0.7158 0.9522  4 Ce 3.14-3.31, 1 Pb 3.24
Bi: 0.7500 0.0478 0.7635  4 Ce 3.14-3.31, 1 Pb 3.24
Pb: 0.2500 0.6667 0.3333  3 Bi 3.24, 3 Ce 3.59
Pb: 0.7500 0.3333 0.6667  3 Bi 3.24, 3 Ce 3.59

Record 3
YCdCl2 | PBE-GGA | optimized geometry

E_form (uncorrected) ... -980 meV per atom
Crystal system ... tetragonal
Magnetization ... 0.00 Bohr magnetons per cell
ΔE to the lowest computed polymorph ... 0.328 eV per atom
DOS(E_F) ... 0.357 states/eV/atom

a b c (Å): 6.3828 6.3828 8.9590
angles (deg): 69.13 69.13 90.00
With the nearest neighbours (Å) after each atom.
Sites, in units of the cell vectors:
Y: 0.5000 0.5000 0.0000  4 Cl 2.59
Y: 0.2500 0.7500 0.5000  4 Cl 2.59
Cl: 0.4744 0.1250 0.2500  2 Y 2.59
Cl: 0.2756 0.6250 0.2500  2 Y 2.59
Cl: 0.3750 0.5256 0.7500  2 Y 2.59
Cl: 0.8750 0.7244 0.7500  2 Y 2.59
Cd: 0.0000 0.0000 0.0000  4 Cl 3.58
Cd: 0.7500 0.2500 0.5000  4 Cl 3.58

Record 4
ReOs6Ru2 | PBE-GGA | optimized geometry

Formation enthalpy at 0 K ... 0.31 eV per atom
Crystal system ... monoclinic
Magnetization ... 0.00 Bohr magnetons per cell
DOS(E_F) ... 0.734 states/eV/atom

a b c (Å): 8.8166 7.4724 7.4724
angles (deg): 56.64 131.34 131.34
With the nearest neighbours (Å) after each atom.
Sites, in units of the cell vectors:
Re: 0.2500 0.8769 0.1231  8 Os 2.56-2.84, 4 Ru 2.71-2.75
Re: 0.7500 0.1231 0.8769  8 Os 2.56-2.84, 4 Ru 2.71-2.75
Os: 0.4427 0.2893 0.5200  3 Os 2.49-2.60, 3 Ru 2.54-2.75, 1 Re 2.69
Os: 0.0573 0.4800 0.7107  3 Os 2.49-2.60, 3 Ru 2.54-2.75, 1 Re 2.69
Os: 0.5573 0.7107 0.4800  3 Os 2.49-2.60, 3 Ru 2.54-2.75, 1 Re 2.69
Os: 0.9427 0.5200 0.2893  3 Os 2.49-2.60, 3 Ru 2.54-2.75, 1 Re 2.69
Os: 0.0334 0.0897 0.6424  6 Os 2.61-2.91, 2 Ru 2.68-2.84, 1 Re 2.78
Os: 0.4666 0.3576 0.9103  6 Os 2.61-2.91, 2 Ru 2.68-2.84, 1 Re 2.78
Os: 0.9666 0.9103 0.3576  6 Os 2.61-2.91, 2 Ru 2.68-2.84, 1 Re 2.78
Os: 0.5334 0.6424 0.0897  6 Os 2.61-2.91, 2 Ru 2.68-2.84, 1 Re 2.78
Os: 0.1917 0.1881 0.0926  6 Os 2.53-2.78, 1 Re 2.56, 1 Ru 2.63
Os: 0.3083 0.9074 0.8119  6 Os 2.53-2.78, 1 Re 2.56, 1 Ru 2.63
Os: 0.8083 0.8119 0.9074  6 Os 2.53-2.78, 1 Re 2.56, 1 Ru 2.63
Os: 0.6917 0.0926 0.1881  6 Os 2.53-2.78, 1 Re 2.56, 1 Ru 2.63
Ru: 0.1069 0.3890 0.2306  6 Os 2.54-2.84, 2 Re 2.71-2.75, 1 Ru 2.73
Ru: 0.3931 0.7694 0.6110  6 Os 2.54-2.84, 2 Re 2.71-2.75, 1 Ru 2.73
Ru: 0.8931 0.6110 0.7694  6 Os 2.54-2.84, 2 Re 2.71-2.75, 1 Ru 2.73
Ru: 0.6069 0.2306 0.3890  6 Os 2.54-2.84, 2 Re 2.71-2.75, 1 Ru 2.73

Record 5
LaCe2Pm3S6 | PBE-GGA | optimized geometry

E_form (uncorrected) ... -2063 meV per atom
Crystal system ... monoclinic
Magnetization ... 1.64 Bohr magnetons per cell
DOS(E_F) ... 1.097 states/eV/atom

a b c (Å): 7.0163 7.0163 7.0298
angles (deg): 99.61 99.61 120.05
With the nearest neighbours (Å) after each atom.
Sites, in units of the cell vectors:
La: 0.0000 0.0000 0.0000  6 S 2.90-2.91
Ce: 0.3333 0.6667 0.0000  6 S 2.85-2.87
Ce: 0.6667 0.3333 0.0000  6 S 2.85-2.87
Pm: 0.1640 0.8360 0.5000  6 S 2.85-2.87
Pm: 0.8360 0.1640 0.5000  6 S 2.85-2.87
Pm: 0.5000 0.5000 0.5000  6 S 2.83-2.86
S: 0.9154 0.5772 0.7462  3 Pm 2.85-2.87, 2 Ce 2.87, 1 La 2.91
S: 0.7453 0.7453 0.2509  3 Pm 2.83-2.85, 2 Ce 2.85, 1 La 2.90
S: 0.0846 0.4228 0.2537  3 Pm 2.85-2.87, 2 Ce 2.87, 1 La 2.91
S: 0.5772 0.9154 0.7462  3 Pm 2.85-2.87, 2 Ce 2.87, 1 La 2.91
S: 0.2547 0.2547 0.7491  3 Pm 2.83-2.85, 2 Ce 2.85, 1 La 2.90
S: 0.4228 0.0846 0.2537  3 Pm 2.85-2.87, 2 Ce 2.87, 1 La 2.91

Record 6
SnAsRhSe2 | PBE-GGA | optimized geometry

E_form (uncorrected) ... 1116 meV per atom
Crystal system ... tetragonal
Magnetization ... 1.69 Bohr magnetons per cell
ΔE to the lowest computed polymorph ... 0.954 eV per atom
DOS(E_F) ... 1.500 states/eV/atom

a b c (Å): 5.2158 5.2158 5.1680
angles (deg): 90.00 90.00 90.00
With the nearest neighbours (Å) after each atom.
Sites, in units of the cell vectors:
As: 0.0000 0.0000 0.5000  2 Sn 2.58
Rh: 0.5000 0.5000 0.5000  8 Se 3.67, 4 As 3.69
Sn: 0.0000 0.0000 0.0000  2 As 2.58, 4 Se 2.61
Se: 0.0000 0.5000 0.0000  2 Sn 2.61
Se: 0.5000 0.0000 0.0000  2 Sn 2.61

Record 7
Ho6Cd2Os | PBE-GGA | optimized geometry

Formation enthalpy at 0 K ... -0.15 eV per atom
Crystal system ... monoclinic
Magnetization ... 0.00 Bohr magnetons per cell
DOS(E_F) ... 1.093 states/eV/atom

a b c (Å): 6.0248 8.7092 9.5944
angles (deg): 90.00 85.41 90.00
With the nearest neighbours (Å) after each atom.
Sites, in units of the cell vectors:
Ho: 0.8989 0.9697 0.2338  1 Os 2.69
Ho: 0.9005 0.6879 0.5454  1 Os 2.81, 2 Cd 3.05-3.08
Ho: 0.8990 0.6687 0.9444  1 Os 2.83, 1 Cd 3.09
Ho: 0.6010 0.1687 0.5556  1 Os 2.83, 1 Cd 3.09
Ho: 0.5995 0.1879 0.9546  1 Os 2.81, 2 Cd 3.05-3.08
Ho: 0.6011 0.4697 0.2662  1 Os 2.69
Ho: 0.1011 0.0303 0.7662  1 Os 2.69
Ho: 0.0995 0.3121 0.4546  1 Os 2.81, 2 Cd 3.05-3.08
Ho: 0.1010 0.3313 0.0556  1 Os 2.83, 1 Cd 3.09
Ho: 0.3990 0.8313 0.4444  1 Os 2.83, 1 Cd 3.09
Ho: 0.4005 0.8121 0.0454  1 Os 2.81, 2 Cd 3.05-3.08
Ho: 0.3989 0.5303 0.7338  1 Os 2.69
Cd: 0.8981 0.3838 0.7531  9 Ho 3.05-3.32, 1 Os 3.39
Cd: 0.6019 0.8838 0.7469  9 Ho 3.05-3.32, 1 Os 3.39
Cd: 0.3981 0.1162 0.2531  9 Ho 3.05-3.32, 1 Os 3.39
Cd: 0.1019 0.6162 0.2469  9 Ho 3.05-3.32, 1 Os 3.39
Os: 0.5000 0.5000 0.0000  6 Ho 2.69-2.83
Os: 0.0000 0.0000 0.5000  6 Ho 2.69-2.83

Record 8
ScCd2Si | PBE-GGA | optimized geometry

E_form (uncorrected) ... -95 meV per atom
Crystal system ... orthorhombic
Magnetization ... 0.00 Bohr magnetons per cell
DOS(E_F) ... 0.619 states/eV/atom

a b c (Å): 3.1862 4.1098 6.3434
angles (deg): 90.00 90.00 90.00
With the nearest neighbours (Å) after each atom.
Sites, in units of the cell vectors:
Cd: 0.0000 0.0000 0.0113  6 Cd 3.01-3.19, 2 Sc 3.03-3.32, 4 Si 3.25
Cd: 0.5000 0.5000 0.2499  1 Si 2.88, 6 Cd 3.01-3.19, 4 Sc 3.16
Sc: 0.0000 0.0000 0.5343  4 Si 2.82, 1 Cd 3.03
Si: 0.5000 0.5000 0.7045  4 Sc 2.82, 1 Cd 2.88

Record 9
KBa2Re | PBE-GGA | optimized geometry

Formation enthalpy at 0 K ... 1.13 eV per atom
Crystal system ... tetragonal
Magnetization ... 0.00 Bohr magnetons per cell
ΔE to the lowest computed polymorph ... 0.284 eV per atom
DOS(E_F) ... 1.096 states/eV/atom

a b c (Å): 9.0170 9.0170 9.0175
angles (deg): 60.00 60.00 90.00
With the nearest neighbours (Å) after each atom.
Sites, in units of the cell vectors:
Re: 0.0000 0.0000 0.0000  4 Ba 2.76
Re: 0.7500 0.2500 0.5000  4 Ba 2.76
K: 0.5000 0.5000 0.0000  12 Ba 5.28-5.30, 4 Re 5.52, 4 K 5.52
K: 0.2500 0.7500 0.5000  12 Ba 5.28-5.30, 4 Re 5.52, 4 K 5.52
Ba: 0.8764 0.1250 0.2500  2 Re 2.76
Ba: 0.8736 0.6250 0.2500  2 Re 2.76
Ba: 0.3750 0.1236 0.7500  2 Re 2.76
Ba: 0.8750 0.1264 0.7500  2 Re 2.76

Record 10
CeTlHgGe | PBE-GGA | optimized geometry

Formation enthalpy at 0 K ... -0.20 eV per atom
Crystal system ... cubic
Magnetization ... 1.14 Bohr magnetons per cell
DOS(E_F) ... 1.729 states/eV/atom

a b c (Å): 5.2319 5.2319 5.2319
angles (deg): 60.00 60.00 60.00
With the nearest neighbours (Å) after each atom.
Sites, in units of the cell vectors:
Tl: 0.5000 0.5000 0.5000  4 Hg 3.20, 4 Ge 3.20
Ge: 0.2500 0.2500 0.2500  4 Ce 3.20, 4 Tl 3.20
Hg: 0.7500 0.7500 0.7500  4 Tl 3.20, 4 Ce 3.20
Ce: 0.0000 0.0000 0.0000  4 Hg 3.20, 4 Ge 3.20

Record 11
KNaHg2Rh | PBE-GGA | optimized geometry

Formation enthalpy at 0 K ... -0.05 eV per atom
Crystal system ... tetragonal
Magnetization ... 0.00 Bohr magnetons per cell
DOS(E_F) ... 0.334 states/eV/atom

a b c (Å): 5.3205 5.3205 5.3594
angles (deg): 90.00 90.00 90.00
With the nearest neighbours (Å) after each atom.
Sites, in units of the cell vectors:
Na: 0.0000 0.0000 0.5000  2 Rh 2.68
K: 0.5000 0.5000 0.5000  4 Na 3.76, 8 Hg 3.78
Rh: 0.0000 0.0000 0.0000  4 Hg 2.66, 2 Na 2.68
Hg: 0.0000 0.5000 0.0000  2 Rh 2.66
Hg: 0.5000 0.0000 0.0000  2 Rh 2.66

Record 12
LuVPdRu | PBE-GGA | optimized geometry

Formation enthalpy at 0 K ... -0.32 eV per atom
Crystal system ... cubic
Magnetization ... 1.67 Bohr magnetons per cell
DOS(E_F) ... 0.951 states/eV/atom

a b c (Å): 4.5592 4.5592 4.5592
angles (deg): 60.00 60.00 60.00
With the nearest neighbours (Å) after each atom.
Sites, in units of the cell vectors:
Ru: 0.7500 0.7500 0.7500  4 Lu 2.79, 4 V 2.79
Lu: 0.5000 0.5000 0.5000  4 Ru 2.79, 4 Pd 2.79
Pd: 0.2500 0.2500 0.2500  4 Lu 2.79, 4 V 2.79
V: 0.0000 0.0000 0.0000  4 Pd 2.79, 4 Ru 2.79